Entry from Alexandria: an optimized crystal structure of LaPm2Y (PBE).

Summary:
**Space-group type**: No. 123
**E_form**: 0.0207 eV per atom
**D(E_F)**: 1.628 states/eV per atom

Unit cell a=3.6594 b=3.6594 c=10.3369 alpha=90.00 beta=90.00 gamma=90.00
Last column: nearest neighbours and their distance in Å.
Sites, in units of the cell vectors:
Y1 0.5000 0.5000 0.5000  8 Pm 3.62, 4 Y 3.66
La1 0.5000 0.5000 0.0000  4 La 3.66, 8 Pm 3.69
Pm1 0.0000 0.0000 0.7454  4 Y 3.62, 4 Pm 3.66, 4 La 3.69
Pm2 0.0000 0.0000 0.2546  4 Y 3.62, 4 Pm 3.66, 4 La 3.69



Entry from Alexandria: an optimized crystal structure of CsNaAu3 (PBE).

Summary:
**Space-group type**: No. 221
**E_form**: 0.1858 eV per atom
**D(E_F)**: 0.388 states/eV per atom

Unit cell a=5.5002 b=5.5002 c=5.5002 alpha=90.00 beta=90.00 gamma=90.00
Last column: nearest neighbours and their distance in Å.
Sites, in units of the cell vectors:
Cs1 0.5000 0.5000 0.5000  12 Au 3.89
Na1 0.0000 0.0000 0.0000  6 Au 2.75
Au1 0.0000 0.5000 0.0000  2 Na 2.75
Au2 0.0000 0.0000 0.5000  2 Na 2.75
Au3 0.5000 0.0000 0.0000  2 Na 2.75



Entry from Alexandria: an optimized crystal structure of BaMg2In (PBE).

Summary:
**Space-group type**: No. 160
**E_form**: 0.0931 eV per atom
**D(E_F)**: 0.698 states/eV per atom

Unit cell a=11.4005 b=11.4005 c=11.4005 alpha=17.82 beta=17.82 gamma=17.82
Last column: nearest neighbours and their distance in Å.
Sites, in units of the cell vectors:
Ba1 0.4975 0.4975 0.4975  6 Ba 3.53, 3 In 3.65, 3 Mg 3.80
In1 0.7409 0.7409 0.7409  3 Mg 3.17, 6 In 3.53
Mg1 0.0022 0.0022 0.0022  3 In 3.17, 9 Mg 3.27-3.53
Mg2 0.2595 0.2595 0.2595  9 Mg 3.27-3.53



Entry from Alexandria: an optimized crystal structure of NaSiSn3 (PBE).

Summary:
**Space-group type**: No. 221
**D(E_F)**: 0.569 states/eV per atom
**Uncorrected formation energy**: 94.2 kJ per mole of atoms

Unit cell a=5.3491 b=5.3491 c=5.3491 alpha=90.00 beta=90.00 gamma=90.00
Last column: nearest neighbours and their distance in Å.
Sites, in units of the cell vectors:
Na1 0.0000 0.0000 0.0000  6 Sn 2.67
Si1 0.5000 0.5000 0.5000  12 Sn 3.78
Sn1 0.0000 0.5000 0.0000  2 Na 2.67
Sn2 0.0000 0.0000 0.5000  2 Na 2.67
Sn3 0.5000 0.0000 0.0000  2 Na 2.67



Entry from Alexandria: an optimized crystal structure of DyYTmMg (PBE).

Summary:
**Space-group type**: No. 99
**E_form**: -0.0266 eV per atom
**D(E_F)**: 1.382 states/eV per atom

Unit cell a=3.5661 b=3.5643 c=9.2563 alpha=90.00 beta=89.99 gamma=89.99
Last column: nearest neighbours and their distance in Å.
Sites, in units of the cell vectors:
Dy1 0.1074 0.4297 0.1016  4 Mg 3.35, 4 Tm 3.48, 4 Dy 3.56-3.57
Y1 0.1074 0.4297 0.5778  4 Mg 3.35, 4 Tm 3.51, 4 Y 3.56-3.57
Tm1 0.6075 0.9297 0.8418  4 Dy 3.48, 4 Y 3.51, 4 Tm 3.56-3.57
Mg1 0.6080 0.9295 0.3395  4 Dy 3.35, 4 Y 3.35, 4 Mg 3.56-3.57



Entry from Alexandria: an optimized crystal structure of NaLiPS2 (PBE).

Summary:
**Space-group type**: No. 123
**D(E_F)**: 0.769 states/eV per atom
**Uncorrected formation energy**: 15.9 kJ per mole of atoms

Unit cell a=4.6655 b=4.6655 c=4.3343 alpha=90.00 beta=90.00 gamma=90.00
Last column: nearest neighbours and their distance in Å.
Sites, in units of the cell vectors:
P1 0.0000 0.0000 0.5000  2 Li 2.17
S1 0.0000 0.5000 0.0000  2 Li 2.33
S2 0.5000 0.0000 0.0000  2 Li 2.33
Li1 0.0000 0.0000 0.0000  2 P 2.17, 4 S 2.33
Na1 0.5000 0.5000 0.5000  8 S 3.18, 4 P 3.30



Entry from Alexandria: an optimized crystal structure of BaIn6Pd4 (PBE).

Summary:
**Space-group type**: No. 121
**E_form**: -0.4839 eV per atom
**D(E_F)**: 0.622 states/eV per atom

Unit cell a=7.1615 b=7.1615 c=7.1615 alpha=90.08 beta=119.95 gamma=119.95
Last column: nearest neighbours and their distance in Å.
Sites, in units of the cell vectors:
Ba1 0.0000 0.0000 0.0000  4 Pd 3.45, 12 In 3.54-3.82
In1 0.0000 0.8823 0.5201  4 Pd 2.69-2.85
In2 0.0000 0.5201 0.8823  4 Pd 2.69-2.85
In3 0.6378 0.1177 0.1177  4 Pd 2.69-2.85
In4 0.5000 0.0000 0.5000  4 Pd 2.78
In5 0.3622 0.4799 0.4799  4 Pd 2.69-2.85
In6 0.5000 0.5000 0.0000  4 Pd 2.78
Pd1 0.0000 0.2513 0.5890  6 In 2.69-2.85, 2 Pd 2.91
Pd2 0.6623 0.4110 0.4110  6 In 2.69-2.85, 2 Pd 2.91
Pd3 0.0000 0.5890 0.2513  6 In 2.69-2.85, 2 Pd 2.91
Pd4 0.3377 0.7487 0.7487  6 In 2.69-2.85, 2 Pd 2.91



Entry from Alexandria: an optimized crystal structure of ZrBeIn (PBE).

Summary:
**Space-group type**: No. 156
**E_form**: 0.3230 eV per atom
**D(E_F)**: 0.648 states/eV per atom

Unit cell a=3.0997 b=3.0997 c=6.9863 alpha=90.00 beta=90.00 gamma=120.00
Last column: nearest neighbours and their distance in Å.
Sites, in units of the cell vectors:
Be1 0.0000 0.0000 0.0037  3 In 2.77, 3 Zr 2.83, 6 Be 3.10
Zr1 0.3333 0.6667 0.6904  3 Be 2.83, 6 Zr 3.10
In1 0.6667 0.3333 0.3059  3 Be 2.77, 6 In 3.10



Entry from Alexandria: an optimized crystal structure of ScTlW (PBE).

Summary:
**Space-group type**: No. 187
**E_form**: 0.5316 eV per atom
**D(E_F)**: 1.097 states/eV per atom

Unit cell a=4.9302 b=4.9302 c=2.9047 alpha=90.00 beta=90.00 gamma=120.00
Last column: nearest neighbours and their distance in Å.
Sites, in units of the cell vectors:
Sc1 0.0000 0.0000 0.9998  2 Sc 2.90, 6 Tl 3.19-3.20, 6 W 3.19-3.20
Tl1 0.3333 0.6667 0.5015  3 W 2.85, 2 Tl 2.90
W1 0.6667 0.3333 0.4987  3 Tl 2.85, 2 W 2.90



Entry from Alexandria: an optimized crystal structure of Sc4InPt (PBE).

Summary:
**Space-group type**: No. 166
**E_form**: -0.4572 eV per atom
**D(E_F)**: 0.980 states/eV per atom

Unit cell a=4.7131 b=4.7189 c=8.1913 alpha=73.23 beta=73.28 gamma=60.04
Last column: nearest neighbours and their distance in Å.
Sites, in units of the cell vectors:
Sc1 0.6329 0.6330 0.1012  3 Pt 2.83-2.84, 1 In 3.08, 3 Sc 3.14
Sc2 0.3671 0.3670 0.8988  3 Pt 2.83-2.84, 1 In 3.08, 3 Sc 3.14
Sc3 0.1153 0.1142 0.6552  1 Pt 2.66, 3 In 2.98
Sc4 0.8847 0.8858 0.3448  1 Pt 2.66, 3 In 2.98
In1 0.5000 0.5000 0.5000  8 Sc 2.98-3.08
Pt1 0.0000 0.0000 0.0000  8 Sc 2.66-2.84



Entry from Alexandria: an optimized crystal structure of Nd2Er12Tm5 (PBE).

Summary:
**Space-group type**: No. 12
**E_form**: 0.1351 eV per atom
**D(E_F)**: 1.420 states/eV per atom

Unit cell a=9.1378 b=12.2851 c=8.4179 alpha=132.45 beta=90.00 gamma=111.83
Last column: nearest neighbours and their distance in Å.
Sites, in units of the cell vectors:
Nd1 0.6863 0.0000 0.0000  8 Er 3.35-3.57, 1 Nd 3.40, 2 Tm 3.52
Nd2 0.3137 0.0000 0.0000  8 Er 3.35-3.57, 1 Nd 3.40, 2 Tm 3.52
Er1 0.0955 0.1910 0.3077  3 Tm 3.37-3.53, 2 Nd 3.39, 5 Er 3.47-3.61
Er2 0.0232 0.6838 0.9297  5 Er 3.31-3.64, 1 Nd 3.42, 5 Tm 3.44-3.69
Er3 0.6606 0.6838 0.9297  5 Er 3.31-3.64, 1 Nd 3.42, 5 Tm 3.44-3.69
Er4 0.1816 0.7472 0.3975  4 Tm 3.34-3.66, 6 Er 3.37-3.64, 1 Nd 3.57
Er5 0.5656 0.7472 0.3975  4 Tm 3.34-3.66, 6 Er 3.37-3.64, 1 Nd 3.57
Er6 0.5569 0.1138 0.7859  2 Nd 3.35, 2 Tm 3.37-3.50, 7 Er 3.37-3.43
Er7 0.4431 0.8862 0.2141  2 Nd 3.35, 2 Tm 3.37-3.50, 7 Er 3.37-3.43
Er8 0.8184 0.2528 0.6025  4 Tm 3.34-3.66, 6 Er 3.37-3.64, 1 Nd 3.57
Er9 0.4344 0.2528 0.6025  4 Tm 3.34-3.66, 6 Er 3.37-3.64, 1 Nd 3.57
Er10 0.9768 0.3162 0.0703  5 Er 3.31-3.64, 1 Nd 3.42, 5 Tm 3.44-3.69
Er11 0.3394 0.3162 0.0703  5 Er 3.31-3.64, 1 Nd 3.42, 5 Tm 3.44-3.69
Er12 0.9045 0.8090 0.6923  3 Tm 3.37-3.53, 2 Nd 3.39, 5 Er 3.47-3.61
Tm1 0.3035 0.6070 0.6143  8 Er 3.37-3.63, 2 Nd 3.52, 1 Tm 3.64
Tm2 0.2332 0.4664 0.8886  10 Er 3.34-3.67, 2 Tm 3.64-3.70
Tm3 0.0000 0.0000 0.5000  10 Er 3.53-3.69, 2 Tm 3.70
Tm4 0.7668 0.5336 0.1114  10 Er 3.34-3.67, 2 Tm 3.64-3.70
Tm5 0.6965 0.3930 0.3857  8 Er 3.37-3.63, 2 Nd 3.52, 1 Tm 3.64